! Ta2SeBr (GGA-PBEsol, optimized geometry); values from VASP
! - polymorph energy (0 for the lowest one) (meV/atom) = 553
! - electronic total energy (Ha/atom) = -0.257
! - formation energy without anion corrections (meV per atom) = 721
! - ρ (g/cm3) = 11.710
! - space-group type = F-43m
&SYSTEM
  ibrav = 0, nat = 4, ntyp = 3
/
ATOMIC_SPECIES
Br 79.90 Br.upf
Ta 180.95 Ta.upf
Se 78.96 Se.upf
CELL_PARAMETERS angstrom
-1.9435 -3.0862 2.9790
1.9893 -4.2187 0.6494
2.1301 -0.9958 4.0801
ATOMIC_POSITIONS crystal
Br 0.5000 0.5000 0.5000
Ta 0.0000 0.0000 0.0000
Ta 0.7500 0.7500 0.7500
Se 0.2500 0.2500 0.2500